Li3HfZr2Te6: optimized geometry, PBE.

Cell: 6.941 6.941 7.611 Å, 98.74 98.74 120.00°
Positions (direct):
Li  0.000  0.000  0.000
Li  0.332  0.668  0.000
Li  0.668  0.332  0.000
Hf  0.500  0.500  0.500
Zr  0.166  0.834  0.500
Zr  0.834  0.166  0.500
Te  0.087  0.417  0.250
Te  0.254  0.254  0.750
Te  0.417  0.087  0.250
Te  0.583  0.913  0.750
Te  0.746  0.746  0.250
Te  0.913  0.583  0.750

Output
* formation energy from raw total energies: -884 meV per atom
* VASP energy: -5.1878 eV per atom

***

OsRu: optimized geometry, PBE.

Cell: 3.076 3.076 3.076 Å, 90.00 90.00 90.00°
Positions (direct):
Os  0.000  0.000  0.000
Ru  0.500  0.500  0.500

Output
* formation enthalpy at 0 K: 0.75 eV per atom
* VASP energy: -9.5023 eV per atom

***

Tl3OsCl8: optimized geometry, PBE.

Cell: 9.349 9.349 9.533 Å, 90.00 90.00 120.00°
Positions (direct):
Tl  0.151  0.302  0.000
Tl  0.151  0.849  0.000
Tl  0.302  0.151  0.500
Tl  0.698  0.849  0.000
Tl  0.849  0.151  0.500
Tl  0.849  0.698  0.500
Os  0.333  0.667  0.492
Os  0.667  0.333  0.992
Cl  0.000  0.000  0.267
Cl  0.000  0.000  0.767
Cl  0.099  0.549  0.355
Cl  0.215  0.431  0.634
Cl  0.215  0.785  0.634
Cl  0.333  0.667  0.011
Cl  0.431  0.215  0.134
Cl  0.451  0.549  0.355
Cl  0.451  0.901  0.355
Cl  0.549  0.099  0.855
Cl  0.549  0.451  0.855
Cl  0.569  0.785  0.634
Cl  0.667  0.333  0.511
Cl  0.785  0.215  0.134
Cl  0.785  0.569  0.134
Cl  0.901  0.451  0.855

Output
* formation energy from raw total energies: -720 meV per atom
* VASP energy: -3.4780 eV per atom

***

AcSmY2: optimized geometry, PBE.

Cell: 5.258 5.258 5.133 Å, 90.00 90.00 90.00°
Positions (direct):
Ac  0.000  0.000  0.000
Sm  0.500  0.500  0.000
Y  0.000  0.500  0.500
Y  0.500  0.000  0.500

Output
* formation enthalpy at 0 K: 0.05 eV per atom
* VASP energy: -5.3927 eV per atom
* energy above the lowest structure with this stoichiometry: 6.6 meV per atom